Entry 1:
Computed, not measured: a relaxed TlAg3 crystal at the GGA-PBEsol level of DFT.

Its space group is No. 25.

Cell lengths 2.979, 4.758, 5.221 Å; angles 90.00, 90.00, 90.00 degrees
Element x y z (fractional)
Ag 0.500 0.000 0.518
Ag 0.500 0.500 0.830
Ag 0.000 0.000 0.993
Tl 0.000 0.500 0.326

Entry 2:
Computed, not measured: a relaxed As2PIr crystal at the GGA-PBEsol level of DFT.

Its space group is No. 65.

Cell lengths 2.808, 2.808, 9.435 Å; angles 90.00, 90.00, 119.76 degrees
Element x y z (fractional)
Ir 0.500 0.500 0.500
As 0.000 0.000 0.269
As 0.000 0.000 0.731
P 0.500 0.500 0.000

Entry 3:
Computed, not measured: a relaxed MgAgHg crystal at the GGA-PBEsol level of DFT.

As for the polymorph energy (0 for the lowest one): 0 meV/atom. Its space group is No. 107.

Cell lengths 3.524, 3.534, 5.144 Å; angles 110.09, 110.03, 90.00 degrees
Element x y z (fractional)
Mg 0.337 0.337 0.674
Ag 0.995 0.995 0.991
Hg 0.668 0.668 0.335

Entry 4:
Computed, not measured: a relaxed La4CdCo crystal at the GGA-PBEsol level of DFT.

Its space group is No. 216.

Cell lengths 9.758, 9.758, 9.758 Å; angles 60.00, 60.00, 60.00 degrees
Element x y z (fractional)
La 0.190 0.190 0.810
La 0.963 0.346 0.346
La 0.942 0.558 0.558
La 0.558 0.942 0.942
La 0.558 0.558 0.942
La 0.190 0.810 0.190
La 0.190 0.810 0.810
La 0.346 0.346 0.963
La 0.810 0.810 0.190
La 0.558 0.942 0.558
La 0.942 0.942 0.558
La 0.346 0.963 0.346
La 0.346 0.346 0.346
La 0.810 0.190 0.190
La 0.810 0.190 0.810
La 0.942 0.558 0.942
Co 0.140 0.580 0.140
Co 0.140 0.140 0.580
Co 0.580 0.140 0.140
Co 0.140 0.140 0.140
Cd 0.265 0.578 0.578
Cd 0.578 0.578 0.578
Cd 0.578 0.265 0.578
Cd 0.578 0.578 0.265

| no. | ΔE_f (eV per atom) |
| --- | --- |
| 1 | 0.10 |
| 2 | 0.39 |
| 3 | -0.23 |
| 4 | -0.20 |